Record 1
An optimized crystal structure of Pr2Si3Rh2, computed with PBE-GGA.

**Formation energy (no corrections)**: -6.0 eV per formula unit
**Total moment**: 0.00 μB/f.u.
**Excess energy over the best structure of this formula in the dataset**: 0.000 eV/f.u.

Cell: 4.260 6.959 9.261 Å, 90.00 103.30 90.00°
Fractional positions:
1 Pr 0.157 0.250 0.315
2 Pr 0.843 0.750 0.685
3 Pr 0.944 0.250 0.888
4 Pr 0.056 0.750 0.112
5 Si 0.223 0.750 0.446
6 Si 0.777 0.250 0.554
7 Si 0.561 0.428 0.121
8 Si 0.439 0.572 0.879
9 Si 0.439 0.928 0.879
10 Si 0.561 0.072 0.121
11 Rh 0.692 0.952 0.385
12 Rh 0.308 0.048 0.615
13 Rh 0.308 0.452 0.615
14 Rh 0.692 0.548 0.385


Record 2
An optimized crystal structure of Pr2Si4Rh3, computed with PBE-GGA.

**Formation energy (no corrections)**: -6.6 eV per formula unit
**Total moment**: 0.00 μB/f.u.

Cell: 5.665 5.665 6.569 Å, 101.88 101.88 121.50°
Fractional positions:
1 Pr 0.636 0.636 0.272
2 Pr 0.364 0.364 0.728
3 Si 0.025 0.659 0.684
4 Si 0.659 0.025 0.684
5 Si 0.975 0.341 0.316
6 Si 0.341 0.975 0.316
7 Rh 0.500 0.000 0.000
8 Rh 0.000 0.000 0.000
9 Rh 0.000 0.500 0.000


Record 3
An optimized crystal structure of Pr2Si3Rh2, computed with PBE-GGA.

**Formation energy (no corrections)**: -5.4 eV per formula unit
**Total moment**: 0.00 μB/f.u.
**Excess energy over the best structure of this formula in the dataset**: 0.552 eV/f.u.

Cell: 4.029 5.868 7.075 Å, 118.53 90.00 110.08°
Fractional positions:
1 Pr 0.862 0.724 0.237
2 Pr 0.138 0.276 0.763
3 Si 0.500 0.000 0.000
4 Si 0.646 0.292 0.433
5 Si 0.354 0.708 0.567
6 Rh 0.868 0.736 0.781
7 Rh 0.132 0.264 0.219


Record 4
An optimized crystal structure of PrSi2Rh, computed with PBE-GGA.

**Formation energy (no corrections)**: -3.6 eV per formula unit
**Total moment**: 0.00 μB/f.u.

Cell: 4.110 4.110 5.699 Å, 68.86 68.86 60.00°
Fractional positions:
1 Pr 0.000 0.000 0.000
2 Si 0.792 0.792 0.625
3 Si 0.208 0.208 0.375
4 Rh 0.500 0.500 0.500


Record 5
An optimized crystal structure of Pr2Sm2SiRh4, computed with PBE-GGA.

**Formation energy (no corrections)**: -4.4 eV per formula unit
**Total moment**: 0.00 μB/f.u.

Cell: 6.496 6.496 6.496 Å, 92.88 118.35 118.35°
Fractional positions:
1 Pr 0.500 0.750 0.250
2 Pr 0.500 0.250 0.750
3 Sm 0.000 0.682 0.682
4 Sm 0.000 0.318 0.318
5 Si 0.000 0.000 0.000
6 Rh 0.000 0.752 0.248
7 Rh 0.504 0.752 0.752
8 Rh 0.000 0.248 0.752
9 Rh 0.496 0.248 0.248


Record 6
An optimized crystal structure of PrSmSiRh, computed with PBE-GGA.

**Formation energy (no corrections)**: -3.0 eV per formula unit
**Total moment**: 0.00 μB/f.u.

Cell: 4.319 4.144 5.747 Å, 90.00 112.07 90.00°
Fractional positions:
1 Pr 0.145 0.000 0.291
2 Sm 0.863 0.500 0.725
3 Si 0.564 0.500 0.128
4 Rh 0.428 0.000 0.856


Record 7
An optimized crystal structure of Pr2SiSnRh6, computed with PBE-GGA.

**Formation energy (no corrections)**: -5.5 eV per formula unit
**Total moment**: 0.00 μB/f.u.

Cell: 6.286 6.640 6.639 Å, 49.68 85.12 106.59°
Fractional positions:
1 Pr 0.742 0.248 0.506
2 Pr 0.258 0.752 0.494
3 Si 0.500 0.500 0.000
4 Sn 0.000 0.000 0.000
5 Rh 0.306 0.298 0.483
6 Rh 0.927 0.742 0.819
7 Rh 0.308 0.789 0.993
8 Rh 0.692 0.211 0.007
9 Rh 0.073 0.258 0.181
10 Rh 0.694 0.702 0.517


Record 8
An optimized crystal structure of Pr2Si2SnRh5, computed with PBE-GGA.

**Formation energy (no corrections)**: -8.5 eV per formula unit
**Total moment**: 0.00 μB/f.u.

Cell: 3.555 10.036 10.036 Å, 90.00 90.00 90.00°
Fractional positions:
1 Pr 0.000 0.678 0.178
2 Pr 0.000 0.322 0.822
3 Pr 0.000 0.178 0.322
4 Pr 0.000 0.822 0.678
5 Si 0.000 0.120 0.620
6 Si 0.000 0.880 0.380
7 Si 0.000 0.620 0.880
8 Si 0.000 0.380 0.120
9 Sn 0.000 0.000 0.000
10 Sn 0.000 0.500 0.500
11 Rh 0.500 0.221 0.068
12 Rh 0.500 0.779 0.932
13 Rh 0.500 0.068 0.779
14 Rh 0.500 0.721 0.432
15 Rh 0.500 0.932 0.221
16 Rh 0.500 0.279 0.568
17 Rh 0.500 0.568 0.721
18 Rh 0.500 0.432 0.279
19 Rh 0.500 0.500 0.000
20 Rh 0.500 0.000 0.500


Record 9
An optimized crystal structure of Pr3Si2SnRh9, computed with PBE-GGA.

**Formation energy (no corrections)**: -6.8 eV per formula unit
**Total moment**: 0.00 μB/f.u.

Cell: 6.774 6.774 7.472 Å, 90.00 90.00 120.00°
Fractional positions:
1 Pr 0.333 0.667 0.670
2 Pr 0.000 0.000 0.000
3 Pr 0.667 0.333 0.330
4 Si 0.333 0.667 0.143
5 Si 0.667 0.333 0.857
6 Sn 0.000 0.000 0.500
7 Rh 0.812 0.188 0.659
8 Rh 0.812 0.623 0.659
9 Rh 0.377 0.188 0.659
10 Rh 0.623 0.812 0.341
11 Rh 0.188 0.377 0.341
12 Rh 0.188 0.812 0.341
13 Rh 0.500 0.000 0.000
14 Rh 0.000 0.500 0.000
15 Rh 0.500 0.500 0.000


Record 10
An optimized crystal structure of TbPrSiRh, computed with PBE-GGA.

**Formation energy (no corrections)**: -3.1 eV per formula unit
**Total moment**: 0.00 μB/f.u.

Cell: 4.281 4.121 5.709 Å, 90.00 112.02 90.00°
Fractional positions:
1 Tb 0.864 0.500 0.728
2 Pr 0.146 0.000 0.293
3 Si 0.563 0.500 0.127
4 Rh 0.426 0.000 0.853


Record 11
An optimized crystal structure of PrSi3TcRh, computed with PBE-GGA.

**Formation energy (no corrections)**: -2.9 eV per formula unit
**Total moment**: 0.00 μB/f.u.

Cell: 5.658 7.423 6.773 Å, 123.23 90.00 90.00°
Fractional positions:
1 Pr 0.750 0.253 0.507
2 Pr 0.250 0.747 0.493
3 Si 0.250 0.250 0.500
4 Si 0.000 0.251 0.000
5 Si 0.500 0.749 0.000
6 Si 0.500 0.251 0.000
7 Si 0.000 0.749 0.000
8 Si 0.750 0.750 0.500
9 Tc 0.250 0.053 0.106
10 Tc 0.750 0.947 0.894
11 Rh 0.250 0.445 0.890
12 Rh 0.750 0.555 0.110


Record 12
An optimized crystal structure of PrThSi2Rh5, computed with PBE-GGA.

**Formation energy (no corrections)**: -6.3 eV per formula unit
**Total moment**: 0.00 μB/f.u.

Cell: 4.084 4.084 10.926 Å, 90.00 90.00 90.00°
Fractional positions:
1 Pr 0.000 0.000 0.500
2 Th 0.000 0.000 0.000
3 Si 0.500 0.500 0.289
4 Si 0.500 0.500 0.711
5 Rh 0.000 0.500 0.185
6 Rh 0.500 0.000 0.185
7 Rh 0.000 0.500 0.815
8 Rh 0.500 0.000 0.815
9 Rh 0.500 0.500 0.500